(1)
# SrCd3Se, optimized geometry, DFT PBE
data_SrCd3Se
_cell_length_a 5.5272
_cell_length_b 5.5272
_cell_length_c 5.5272
_cell_angle_alpha 90.00
_cell_angle_beta 90.00
_cell_angle_gamma 90.00
_symmetry_space_group_name_H-M 'P 1'
_symmetry_Int_Tables_number 1
loop_
_symmetry_equiv_pos_as_xyz
'x,y,z'
loop_
_atom_site_label
_atom_site_type_symbol
_atom_site_fract_x
_atom_site_fract_y
_atom_site_fract_z
Cd1 Cd 0.0000 0.0000 0.5000
Cd2 Cd 0.0000 0.5000 0.0000
Cd3 Cd 0.5000 0.0000 0.0000
Sr1 Sr 0.5000 0.5000 0.5000
Se1 Se 0.0000 0.0000 0.0000
# Polymorph energy (0 for the lowest one) (meV/atom): 0
# Formation energy without anion corrections (kJ/mol of atoms): 4
# M_tot (μB per cell): 0.0
# V (A^3/atom): 33.8


(2)
# Sr2CdSe, optimized geometry, DFT PBE
data_Sr2CdSe
_cell_length_a 4.3585
_cell_length_b 4.3585
_cell_length_c 8.9290
_cell_angle_alpha 75.89
_cell_angle_beta 75.89
_cell_angle_gamma 59.97
_symmetry_space_group_name_H-M 'P 1'
_symmetry_Int_Tables_number 1
loop_
_symmetry_equiv_pos_as_xyz
'x,y,z'
loop_
_atom_site_label
_atom_site_type_symbol
_atom_site_fract_x
_atom_site_fract_y
_atom_site_fract_z
Sr1 Sr 0.9884 0.9884 0.0341
Sr2 Sr 0.5116 0.5116 0.4659
Cd1 Cd 0.7500 0.7500 0.7500
Se1 Se 0.2500 0.2500 0.2500
# Polymorph energy (0 for the lowest one) (meV/atom): 0
# Formation energy without anion corrections (kJ/mol of atoms): -100
# M_tot (μB per cell): 0.7
# V (A^3/atom): 35.2